Entry from the Alexandria database: a relaxed U3Cr5N12 crystal (PBE-GGA).

Structure (extended XYZ):
```
80
Lattice="-6.117 6.117 6.117 6.117 -6.117 6.117 6.117 6.117 -6.117" Properties=species:S:1:pos:R:3 pbc="T T T"
U 3.059 1.529 0.000
U 6.117 3.059 -1.529
U 1.529 0.000 3.059
U 7.646 0.000 3.059
U 0.000 3.059 1.529
U 3.059 -1.529 6.117
U 3.059 7.646 0.000
U 6.117 3.059 4.588
U -1.529 6.117 3.059
U 4.588 6.117 3.059
U 0.000 3.059 7.646
U 3.059 4.588 6.117
Cr 0.000 0.000 0.000
Cr 3.059 3.059 -3.059
Cr 3.059 -3.059 3.059
Cr 6.117 0.000 0.000
Cr 9.176 1.529 0.000
Cr 6.117 -3.059 4.588
Cr 4.588 6.117 -3.059
Cr 4.588 0.000 3.059
Cr 3.059 4.588 0.000
Cr 6.117 3.059 1.529
Cr -3.059 3.059 3.059
Cr 0.000 6.117 0.000
Cr 0.000 0.000 6.117
Cr 3.059 3.059 3.059
Cr 0.000 3.059 4.588
Cr 3.059 1.529 6.117
Cr 1.529 6.117 3.059
Cr 1.529 0.000 9.176
Cr 0.000 9.176 1.529
Cr -3.059 4.588 6.117
N 1.894 -0.345 0.672
N 7.282 3.731 -3.404
N 8.011 0.345 0.672
N 7.282 -2.387 3.404
N 5.772 -0.672 1.894
N 9.521 -1.164 2.387
N 0.672 1.894 -0.345
N 8.504 2.714 -1.164
N 3.731 3.404 -1.164
N 5.445 1.894 0.345
N -0.345 0.672 1.894
N 3.404 -1.164 3.731
N 5.772 5.445 -1.894
N 3.404 1.164 2.387
N 3.731 -3.404 7.282
N 5.445 -1.894 5.772
N 2.387 3.404 1.164
N 6.789 4.223 0.345
N 3.404 7.282 -2.387
N 5.772 0.672 4.223
N 1.894 5.772 -0.672
N 7.282 2.387 2.714
N 1.164 2.387 3.404
N 1.894 0.345 5.445
N 4.223 5.772 0.672
N 4.953 3.731 2.714
N -1.164 3.731 3.404
N 4.223 0.345 6.789
N 0.345 5.445 1.894
N 2.714 -1.164 8.504
N -0.672 1.894 5.772
N 3.731 2.714 4.953
N 0.672 8.011 0.345
N 2.387 9.521 -1.164
N 2.714 4.953 3.731
N 0.345 0.672 8.011
N 2.714 7.282 2.387
N 6.462 5.445 4.223
N 0.672 4.223 5.772
N 2.387 2.714 7.282
N -2.387 3.404 7.282
N 5.445 4.223 6.462
N -3.404 7.282 3.731
N 0.345 6.789 4.223
N -1.164 8.504 2.714
N -1.894 5.772 5.445
N -1.164 2.387 9.521
N 4.223 6.462 5.445
```

Results
DOS(E_F) ... 63.74 states/eV per cell
Total DFT energy (no corrections) ... -789.230 eV per cell
ΔE_f (raw) ... -771.1 meV per atom